Entry 1:
Si2MoSe after structural relaxation. Source: the Alexandria database, functional PBE.

**Size of the total moment**: 0.79 μB/f.u.
**Energy relative to the elements, uncorrected**: 0.46 eV per atom
**ρ**: 6.119 g/cm3

Unit cell a=3.868 b=3.868 c=8.382 alpha=90.00 beta=90.00 gamma=90.00
Space group I4/mmm (No. 139)
Inequivalent atoms, fractional coordinates:
Si1 0.000 0.500 0.250 x4
Mo1 0.000 0.000 0.000 x2
Se1 0.000 0.000 0.500 x2

***

Entry 2:
SiMo2Se after structural relaxation. Source: the Alexandria database, functional PBE.

**Size of the total moment**: 0.00 μB/f.u.
**Relative energy among the computed polymorphs**: 409 meV/atom
**Energy relative to the elements, uncorrected**: 0.28 eV per atom
**ρ**: 7.928 g/cm3

Unit cell a=4.065 b=4.065 c=7.579 alpha=90.00 beta=90.00 gamma=90.00
Space group I-4m2 (No. 119)
Inequivalent atoms, fractional coordinates:
Si1 0.000 0.000 0.000 x2
Mo1 0.000 0.000 0.500 x2
Mo2 0.000 0.500 0.750 x2
Se1 0.000 0.500 0.250 x2

***

Entry 3:
Si2MoSe after structural relaxation. Source: the Alexandria database, functional PBE.

**Size of the total moment**: 0.00 μB/f.u.
**Energy relative to the elements, uncorrected**: 0.15 eV per atom
**ρ**: 6.063 g/cm3

Unit cell a=3.254 b=3.254 c=5.975 alpha=90.00 beta=90.00 gamma=90.00
Space group P4/mmm (No. 123)
Inequivalent atoms, fractional coordinates:
Si1 0.000 0.000 0.212 x2
Mo1 0.500 0.500 0.000 x1
Se1 0.500 0.500 0.500 x1

***

Entry 4:
SiMo2Se after structural relaxation. Source: the Alexandria database, functional PBE.

**Size of the total moment**: 0.00 μB/f.u.
**Relative energy among the computed polymorphs**: 160 meV/atom
**Energy relative to the elements, uncorrected**: 0.03 eV per atom
**ρ**: 8.348 g/cm3

Unit cell a=6.196 b=6.196 c=6.196 alpha=90.00 beta=90.00 gamma=90.00
Space group Fm-3m (No. 225)
Inequivalent atoms, fractional coordinates:
Si1 0.000 0.000 0.000 x4
Mo1 0.250 0.250 0.250 x8
Se1 0.000 0.000 0.500 x4